First-principles (GGA-PBE) data for BaOsC2 after structural relaxation, as listed in Alexandria via LeMat-Bulk.

a = 4.378 Å, b = 4.378 Å, c = 4.378 Å
α = 60.00°, β = 60.00°, γ = 60.00°
Positions (direct):
Ba: 0.000 0.000 0.000
C: 0.750 0.750 0.750
C: 0.250 0.250 0.250
Os: 0.500 0.500 0.500

Results
The value obtained for the total energy is -5.6009 eV/atom. The total magnetization comes out at 0.0000 μB/atom. As for the symmetry: No. 225. The value obtained for the density of states at the Fermi level is 1.5 states/eV per cell. The value obtained for the calculated formation energy is 2299 meV per atom. As for the crystal system: cubic. As for the energy above the lowest structure with this stoichiometry: 197.56 kJ per mole of atoms.


First-principles (GGA-PBE) data for NaCu2Si2 after structural relaxation, as listed in Alexandria via LeMat-Bulk.

a = 7.628 Å, b = 7.628 Å, c = 2.564 Å
α = 90.00°, β = 90.00°, γ = 90.00°
Positions (direct):
Cu: 0.645 0.145 0.000
Cu: 0.145 0.355 0.000
Cu: 0.855 0.645 0.000
Cu: 0.355 0.855 0.000
Na: 0.000 0.000 0.000
Na: 0.500 0.500 0.000
Si: 0.648 0.852 0.500
Si: 0.852 0.352 0.500
Si: 0.352 0.148 0.500
Si: 0.148 0.648 0.500

Results
The value obtained for the total energy is -4.0020 eV/atom. The total magnetization comes out at 0.0000 μB/atom. As for the symmetry: No. 127. The value obtained for the density of states at the Fermi level is 2.6 states/eV per cell. As for the crystal system: tetragonal. For the uncorrected formation energy, the calculation gives 0.069 eV per atom. As for the energy above the lowest structure with this stoichiometry: 9.84 kJ per mole of atoms.


First-principles (GGA-PBE) data for Ce3Si4Rh4 after structural relaxation, as listed in Alexandria via LeMat-Bulk.

a = 3.991 Å, b = 4.175 Å, c = 12.615 Å
α = 80.47°, β = 80.90°, γ = 90.00°
Positions (direct):
Rh: 0.250 0.250 0.499
Rh: 0.599 0.099 0.803
Rh: 0.401 0.901 0.197
Rh: 0.750 0.750 0.501
Si: 0.547 0.548 0.904
Si: 0.697 0.197 0.605
Si: 0.303 0.803 0.395
Si: 0.453 0.452 0.096
Ce: 0.144 0.644 0.712
Ce: 0.856 0.356 0.288
Ce: 0.000 0.000 0.000

Results
The value obtained for the total energy is -7.2836 eV/atom. The total magnetization comes out at 0.1039 μB/atom. As for the symmetry: No. 71. The value obtained for the density of states at the Fermi level is 12.1 states/eV per cell. As for the crystal system: orthorhombic. For the uncorrected formation energy, the calculation gives -1.020 eV per atom.


First-principles (GGA-PBE) data for SrAlSI2 after structural relaxation, as listed in Alexandria via LeMat-Bulk.

a = 6.165 Å, b = 5.392 Å, c = 6.165 Å
α = 90.00°, β = 90.00°, γ = 90.00°
Positions (direct):
I: 0.500 0.000 0.000
I: 0.000 0.000 0.500
Al: 0.500 0.500 0.500
Sr: 0.000 0.500 0.000
S: 0.000 0.000 0.000

Results
The value obtained for the total energy is -2.6655 eV/atom. The total magnetization comes out at 0.0000 μB/atom. As for the symmetry: No. 123. The value obtained for the density of states at the Fermi level is 2.9 states/eV per cell. As for the crystal system: tetragonal. For the uncorrected formation energy, the calculation gives -0.135 eV per atom.


First-principles (GGA-PBE) data for Ac2ZnH8 after structural relaxation, as listed in Alexandria via LeMat-Bulk.

a = 4.154 Å, b = 4.311 Å, c = 7.985 Å
α = 92.62°, β = 105.07°, γ = 90.00°
Positions (direct):
Ac: 0.840 0.316 0.676
Ac: 0.164 0.684 0.324
H: 0.755 0.819 0.506
H: 0.572 0.758 0.129
H: 0.249 0.181 0.494
H: 0.444 0.242 0.871
H: 0.995 0.821 0.867
H: 0.327 0.635 0.642
H: 0.685 0.365 0.358
H: 0.128 0.179 0.133
Zn: 0.340 0.000 0.000

Results
The value obtained for the total energy is -3.6656 eV/atom. The total magnetization comes out at 0.0000 μB/atom. As for the symmetry: No. 5. The value obtained for the density of states at the Fermi level is 0.0 states/eV per cell. As for the crystal system: monoclinic.


First-principles (GGA-PBE) data for TbYBi2 after structural relaxation, as listed in Alexandria via LeMat-Bulk.

a = 4.453 Å, b = 4.453 Å, c = 8.039 Å
α = 73.92°, β = 73.92°, γ = 60.00°
Positions (direct):
Bi: 0.082 0.082 0.755
Bi: 0.252 0.252 0.245
Y: 0.669 0.669 0.994
Tb: 0.498 0.498 0.506

Results
The value obtained for the total energy is -5.5015 eV/atom. The total magnetization comes out at 0.0000 μB/atom. As for the symmetry: No. 160. The value obtained for the density of states at the Fermi level is 0.5 states/eV per cell. The value obtained for the calculated formation energy is -787 meV per atom. As for the crystal system: trigonal. As for the energy above the lowest structure with this stoichiometry: 9.75 kJ per mole of atoms.


First-principles (GGA-PBE) data for LaNd12In4N3 after structural relaxation, as listed in Alexandria via LeMat-Bulk.

a = 8.918 Å, b = 8.918 Å, c = 8.918 Å
α = 109.47°, β = 109.47°, γ = 109.47°
Positions (direct):
Nd: 0.250 0.750 0.500
Nd: 0.725 0.000 0.725
Nd: 0.275 0.000 0.275
Nd: 0.725 0.725 0.000
Nd: 0.500 0.750 0.250
Nd: 0.750 0.500 0.250
Nd: 0.275 0.275 0.000
Nd: 0.750 0.250 0.500
Nd: 0.000 0.275 0.275
Nd: 0.500 0.250 0.750
Nd: 0.250 0.500 0.750
Nd: 0.000 0.725 0.725
N: 0.500 0.500 0.000
N: 0.500 0.000 0.500
N: 0.000 0.500 0.500
In: 0.500 0.000 0.000
In: 0.500 0.500 0.500
In: 0.000 0.500 0.000
In: 0.000 0.000 0.500
La: 0.000 0.000 0.000

Results
The value obtained for the total energy is -5.3806 eV/atom. The total magnetization comes out at 0.0000 μB/atom. As for the symmetry: No. 229. The value obtained for the density of states at the Fermi level is 14.5 states/eV per cell. As for the crystal system: cubic. For the uncorrected formation energy, the calculation gives -0.477 eV per atom.


First-principles (GGA-PBE) data for CoCu2Br after structural relaxation, as listed in Alexandria via LeMat-Bulk.

a = 4.417 Å, b = 4.417 Å, c = 4.417 Å
α = 60.00°, β = 60.00°, γ = 60.00°
Positions (direct):
Cu: 0.250 0.250 0.250
Cu: 0.750 0.750 0.750
Br: 0.500 0.500 0.500
Co: 0.000 0.000 0.000

Results
The value obtained for the total energy is -3.4718 eV/atom. The total magnetization comes out at 0.4591 μB/atom. As for the symmetry: No. 225. The value obtained for the density of states at the Fermi level is 2.0 states/eV per cell. As for the crystal system: cubic. For the uncorrected formation energy, the calculation gives 0.771 eV per atom. As for the energy above the lowest structure with this stoichiometry: 41.17 kJ per mole of atoms.


First-principles (GGA-PBE) data for Sc2Be2GePt5 after structural relaxation, as listed in Alexandria via LeMat-Bulk.

a = 3.438 Å, b = 9.324 Å, c = 9.324 Å
α = 90.00°, β = 90.00°, γ = 90.00°
Positions (direct):
Pt: 0.500 0.929 0.211
Pt: 0.500 0.429 0.289
Pt: 0.500 0.500 0.000
Pt: 0.500 0.571 0.711
Pt: 0.500 0.071 0.789
Pt: 0.500 0.211 0.071
Pt: 0.500 0.711 0.429
Pt: 0.500 0.289 0.571
Pt: 0.500 0.789 0.929
Pt: 0.500 0.000 0.500
Sc: 0.000 0.825 0.675
Sc: 0.000 0.325 0.825
Sc: 0.000 0.175 0.325
Sc: 0.000 0.675 0.175
Ge: 0.000 0.000 0.000
Ge: 0.000 0.500 0.500
Be: 0.000 0.879 0.379
Be: 0.000 0.621 0.879
Be: 0.000 0.379 0.121
Be: 0.000 0.121 0.621

Results
The value obtained for the total energy is -6.4236 eV/atom. The total magnetization comes out at 0.0000 μB/atom. As for the symmetry: No. 127. The value obtained for the density of states at the Fermi level is 8.3 states/eV per cell. The value obtained for the calculated formation energy is -930 meV per atom. As for the crystal system: tetragonal.


First-principles (GGA-PBE) data for Dy2YCu after structural relaxation, as listed in Alexandria via LeMat-Bulk.

a = 4.875 Å, b = 6.236 Å, c = 7.663 Å
α = 90.00°, β = 90.00°, γ = 112.97°
Positions (direct):
Dy: 0.648 0.296 0.466
Dy: 0.352 0.704 0.966
Dy: 0.648 0.296 0.034
Dy: 0.352 0.704 0.534
Cu: 0.204 0.410 0.250
Cu: 0.796 0.590 0.750
Y: 0.954 0.908 0.250
Y: 0.046 0.092 0.750

Results
The value obtained for the total energy is -5.0123 eV/atom. The total magnetization comes out at 0.0003 μB/atom. As for the symmetry: No. 11. The value obtained for the density of states at the Fermi level is 9.7 states/eV per cell. The value obtained for the calculated formation energy is -71 meV per atom. As for the crystal system: monoclinic. As for the energy above the lowest structure with this stoichiometry: 3.76 kJ per mole of atoms.